Entry 1:
# SrPH10S3O5

A crystal of SrPH10S3O5 relaxed with PBEsol (meta-GGA SCAN, the Alexandria database).

abc: 8.1810 8.9962 12.5332
angles: 91.37 99.17 91.74
With the nearest neighbours (Å) after each atom.
Atoms (fractional coordinates):
S (0.0034, 0.2142, 0.0043)  1 P 2.04, 2 H 2.20-2.22
S (0.4369, 0.7739, 0.6127)  1 P 2.02, 1 H 2.20
S (0.7570, 0.5200, 0.8454)  1 P 2.02, 2 H 2.11-2.19
S (0.4593, 0.7965, 0.3502)  1 P 2.04, 2 H 2.16-2.20
S (0.7704, 0.5548, 0.1172)  1 P 2.00, 1 H 2.10
S (0.7934, 0.9102, 0.5394)  1 P 2.03, 2 H 2.19-2.21
S (0.2430, 0.4800, 0.1546)  1 P 2.02, 2 H 2.11-2.19
S (0.2066, 0.0898, 0.4606)  1 P 2.03, 2 H 2.19-2.21
S (0.5631, 0.2261, 0.3873)  1 P 2.02, 1 H 2.20
S (0.2296, 0.4452, 0.8828)  1 P 2.00, 1 H 2.10
S (0.9966, 0.7858, 0.9957)  1 P 2.04, 2 H 2.20-2.22
S (0.5407, 0.2035, 0.6498)  1 P 2.04, 2 H 2.16-2.20
O (0.6870, 0.9841, 0.0205)  2 H 1.00
O (0.5852, 0.2205, 0.9103)  2 H 1.00-1.01
O (0.1711, 0.0248, 0.7048)  2 H 1.00-1.01
O (0.5315, 0.2815, 0.1100)  2 H 1.01
O (0.8289, 0.9752, 0.2952)  2 H 1.00-1.01
O (0.0613, 0.6679, 0.5098)  2 H 1.00
O (0.4685, 0.7185, 0.8900)  2 H 1.01
O (0.6854, 0.5140, 0.5829)  2 H 1.00
O (0.0805, 0.7513, 0.7551)  2 H 0.99-1.01
O (0.9430, 0.2215, 0.7365)  2 H 0.99-1.00
O (0.3130, 0.0159, 0.9795)  2 H 1.00
O (0.9387, 0.3321, 0.4902)  2 H 1.00
O (0.9195, 0.2487, 0.2449)  2 H 0.99-1.01
O (0.0570, 0.7785, 0.2635)  2 H 0.99-1.00
O (0.7367, 0.5641, 0.3766)  2 H 0.99-1.00
O (0.4148, 0.7795, 0.0897)  2 H 1.00-1.01
O (0.7577, 0.9323, 0.7941)  2 H 0.99
O (0.2423, 0.0677, 0.2059)  2 H 0.99
O (0.3146, 0.4860, 0.4171)  2 H 1.00
O (0.2633, 0.4359, 0.6234)  2 H 0.99-1.00
H (0.7116, 0.5388, 0.4497)  1 O 1.00
H (0.5403, 0.2535, 0.9770)  1 O 1.01
H (0.7780, 0.9073, 0.7197)  1 O 0.99
H (0.2884, 0.4612, 0.5503)  1 O 1.00
H (0.4597, 0.7465, 0.0230)  1 O 1.01
H (0.7083, 0.0808, 0.9867)  1 O 1.00
H (0.3568, 0.6894, 0.1126)  1 O 1.00
H (0.9301, 0.2388, 0.1671)  1 O 0.99
H (0.1679, 0.1289, 0.1559)  1 O 0.99
H (0.0856, 0.0995, 0.7177)  1 O 1.01
H (0.2152, 0.0790, 0.9823)  1 O 1.00
H (0.3726, 0.5823, 0.4049)  1 O 1.00
H (0.6250, 0.3583, 0.1187)  1 O 1.01
H (0.6274, 0.4177, 0.5951)  1 O 1.00
H (0.8286, 0.2805, 0.4656)  1 O 1.00
H (0.0522, 0.7777, 0.1833)  1 O 1.00
H (0.0699, 0.7612, 0.8329)  1 O 0.99
H (0.5663, 0.6599, 0.8758)  1 O 1.01
H (0.1024, 0.8544, 0.7302)  1 O 1.01
H (0.6112, 0.5944, 0.6014)  1 O 1.00
H (0.9478, 0.2223, 0.8167)  1 O 1.00
H (0.2220, 0.0927, 0.2803)  1 O 0.99
H (0.7848, 0.9210, 0.0177)  1 O 1.00
H (0.8321, 0.8711, 0.8441)  1 O 0.99
H (0.9144, 0.9005, 0.2823)  1 O 1.01
H (0.0245, 0.2551, 0.4931)  1 O 1.00
H (0.3750, 0.6417, 0.8813)  1 O 1.01
H (0.1714, 0.7195, 0.5344)  1 O 1.00
H (0.1835, 0.0357, 0.6270)  1 O 1.00
H (0.1694, 0.8196, 0.2939)  1 O 0.99
H (0.3411, 0.3562, 0.6474)  1 O 0.99
H (0.4337, 0.3401, 0.1242)  1 O 1.01
H (0.8306, 0.1804, 0.7061)  1 O 0.99
H (0.6432, 0.3106, 0.8874)  1 O 1.00
H (0.8165, 0.9643, 0.3730)  1 O 1.00
H (0.8976, 0.1456, 0.2698)  1 O 1.01
H (0.3888, 0.4056, 0.3986)  1 O 1.00
H (0.9755, 0.7449, 0.5069)  1 O 1.00
H (0.2917, 0.9192, 0.0133)  1 O 1.00
H (0.6589, 0.6438, 0.3526)  1 O 0.99
P (0.5440, 0.8835, 0.5014)  3 S 2.02-2.04, 1 P 2.24
P (0.8921, 0.5760, 0.9913)  3 S 2.00-2.04
P (0.1079, 0.4240, 0.0087)  3 S 2.00-2.04
P (0.4560, 0.1165, 0.4986)  3 S 2.02-2.04, 1 P 2.24
Sr (0.0062, 0.5010, 0.3272)  6 O 2.46-2.69
Sr (0.4633, 0.9816, 0.8176)  5 O 2.52-2.62, 1 H 2.78
Sr (0.5367, 0.0184, 0.1824)  5 O 2.52-2.62, 1 H 2.78
Sr (0.9938, 0.4990, 0.6728)  6 O 2.46-2.69

Calculated values
As for the final energy: -7.488 eV per atom. The total magnetic moment comes out at 0.000 Bohr magnetons per cell. As for the symmetry: P-1 (2).



Entry 2:
# Sb2P3H3O9

A crystal of Sb2P3H3O9 relaxed with PBEsol (meta-GGA SCAN, the Alexandria database).

abc: 7.2876 8.4037 9.0890
angles: 67.09 80.02 68.13
With the nearest neighbours (Å) after each atom.
Atoms (fractional coordinates):
P (0.7681, 0.7824, 0.9445)  1 H 1.41, 3 O 1.53-1.56
P (0.2319, 0.2176, 0.0555)  1 H 1.41, 3 O 1.53-1.56
P (0.2352, 0.1188, 0.6312)  1 H 1.41, 3 O 1.54-1.55
P (0.5488, 0.4997, 0.7367)  1 H 1.41, 3 O 1.53-1.56
P (0.4512, 0.5003, 0.2633)  1 H 1.41, 3 O 1.53-1.56
P (0.7648, 0.8812, 0.3688)  1 H 1.41, 3 O 1.54-1.55
O (0.1086, 0.2675, 0.9101)  1 P 1.56
O (0.7914, 0.9341, 0.5056)  1 P 1.54
O (0.2086, 0.0659, 0.4944)  1 P 1.54
O (0.5485, 0.9391, 0.3234)  1 P 1.55
O (0.1898, 0.0535, 0.1883)  1 P 1.53
O (0.8049, 0.6145, 0.9001)  1 P 1.53
O (0.8102, 0.9465, 0.8117)  1 P 1.53
O (0.1270, 0.3276, 0.5818)  1 P 1.54
O (0.7789, 0.4128, 0.7331)  1 P 1.56
O (0.2211, 0.5872, 0.2669)  1 P 1.56
O (0.8730, 0.6724, 0.4182)  1 P 1.54
O (0.5349, 0.6184, 0.3063)  1 P 1.53
O (0.1951, 0.3855, 0.0999)  1 P 1.53
O (0.4779, 0.7039, 0.6339)  1 P 1.53
O (0.4651, 0.3816, 0.6937)  1 P 1.53
O (0.4515, 0.0609, 0.6766)  1 P 1.55
O (0.5221, 0.2961, 0.3661)  1 P 1.53
O (0.8914, 0.7325, 0.0899)  1 P 1.56
H (0.5124, 0.5121, 0.1043)  1 P 1.41
H (0.1458, 0.0262, 0.7719)  1 P 1.41
H (0.4326, 0.1624, 0.0055)  1 P 1.41
H (0.8542, 0.9738, 0.2281)  1 P 1.41
H (0.5674, 0.8376, 0.9945)  1 P 1.41
H (0.4876, 0.4879, 0.8957)  1 P 1.41
Sb (0.9981, 0.4954, 0.2781)  4 O 2.02-2.22
Sb (0.6803, 0.1579, 0.5897)  4 O 2.03-2.19
Sb (0.3197, 0.8421, 0.4103)  4 O 2.03-2.19
Sb (0.0019, 0.5046, 0.7219)  4 O 2.02-2.22

Calculated values
As for the final energy: -11.778 eV per atom. The total magnetic moment comes out at 0.000 Bohr magnetons per cell. As for the symmetry: P-1 (2).



Entry 3:
# Sb2P4H3O16

A crystal of Sb2P4H3O16 relaxed with PBEsol (meta-GGA SCAN, the Alexandria database).

abc: 4.8197 7.1591 8.3904
angles: 90.77 90.18 103.31
With the nearest neighbours (Å) after each atom.
Atoms (fractional coordinates):
O (0.2373, 0.7714, 0.3762)  1 P 1.54
O (0.7909, 0.6064, 0.8354)  1 P 1.58
O (0.7495, 0.5733, 0.4395)  1 H 1.01
O (0.2106, 0.3917, 0.1654)  1 P 1.58
O (0.5002, 0.2183, 0.3210)  1 P 1.56, 1 H 1.71
O (0.7914, 0.9547, 0.9103)  1 H 1.14
O (0.8170, 0.9205, 0.3598)  1 P 1.53
O (0.2451, 0.4290, 0.5590)  1 H 1.01
O (0.4946, 0.7784, 0.6800)  1 P 1.55, 1 H 1.69
O (0.6440, 0.2988, 0.0368)  1 P 1.56
O (0.8718, 0.6698, 0.1558)  1 P 1.55
O (0.2021, 0.0429, 0.0867)  1 H 1.29
O (0.1262, 0.3286, 0.8423)  1 P 1.55
O (0.3553, 0.6965, 0.9647)  1 P 1.56
O (0.1735, 0.0803, 0.6339)  1 P 1.54
O (0.7561, 0.2321, 0.6236)  1 P 1.54
Sb (0.4982, 0.0013, 0.4987)  6 O 2.08-2.22
Sb (0.9990, 0.4973, 0.0008)  6 O 1.97-1.99
P (0.0754, 0.2671, 0.6643)  4 O 1.54-1.55
P (0.9189, 0.7346, 0.3333)  4 O 1.53-1.55
P (0.3828, 0.2288, 0.1483)  4 O 1.50-1.58
P (0.6119, 0.7645, 0.8509)  4 O 1.51-1.58
H (0.3396, 0.5598, 0.6043)  1 O 1.01
H (0.9832, 0.9932, 0.9937)  1 O 1.14
H (0.6544, 0.4426, 0.3953)  1 O 1.01

Calculated values
As for the final energy: -10.926 eV per atom. The total magnetic moment comes out at 1.007 Bohr magnetons per cell. As for the symmetry: P1 (1).



Entry 4:
# ScP2H5O9

A crystal of ScP2H5O9 relaxed with PBEsol (meta-GGA SCAN, the Alexandria database).

abc: 5.3814 8.5754 14.5295
angles: 90.00 98.32 90.00
With the nearest neighbours (Å) after each atom.
Atoms (fractional coordinates):
P (0.2698, 0.8173, 0.4491)  4 O 1.52-1.59
P (0.2698, 0.6827, 0.9491)  4 O 1.52-1.59
P (0.7976, 0.7767, 0.6947)  4 O 1.52-1.56
P (0.2024, 0.2233, 0.3053)  4 O 1.52-1.56
P (0.2024, 0.2767, 0.8053)  4 O 1.52-1.56
P (0.7302, 0.1827, 0.5509)  4 O 1.52-1.59
P (0.7976, 0.7233, 0.1947)  4 O 1.52-1.56
P (0.7302, 0.3173, 0.0509)  4 O 1.52-1.59
O (0.2654, 0.1326, 0.7526)  1 P 1.52
O (0.7372, 0.2127, 0.4462)  1 H 1.46, 1 P 1.55
O (0.9246, 0.1743, 0.2747)  1 H 1.45, 1 P 1.55
O (0.9220, 0.4412, 0.0869)  1 P 1.52
O (0.0754, 0.6743, 0.2253)  1 H 1.45, 1 P 1.55
O (0.3789, 0.4116, 0.7861)  1 P 1.55, 1 H 1.63
O (0.2255, 0.5149, 0.6161)  3 H 1.01-1.06
O (0.7687, 0.7742, 0.0905)  1 H 1.01
O (0.1963, 0.8431, 0.8980)  1 H 1.06
O (0.2654, 0.3674, 0.2526)  1 P 1.52
O (0.8037, 0.1569, 0.1020)  1 H 1.06
O (0.9220, 0.0588, 0.5869)  1 P 1.52
O (0.2628, 0.7873, 0.5538)  1 H 1.46, 1 P 1.55
O (0.7372, 0.2873, 0.9462)  1 H 1.46, 1 P 1.55
O (0.7745, 0.0149, 0.8839)  3 H 1.01-1.06
O (0.6211, 0.5884, 0.2139)  1 P 1.55, 1 H 1.63
O (0.7687, 0.7258, 0.5905)  1 H 1.01
O (0.2313, 0.2742, 0.4095)  1 H 1.01
O (0.1963, 0.6569, 0.3980)  1 H 1.06
O (0.7346, 0.6326, 0.7474)  1 P 1.52
O (0.0780, 0.9412, 0.4131)  1 P 1.52
O (0.5397, 0.6356, 0.9359)  1 P 1.55, 1 H 1.71
O (0.5397, 0.8644, 0.4359)  1 P 1.55, 1 H 1.71
O (0.2313, 0.2258, 0.9095)  1 H 1.01
O (0.4603, 0.3644, 0.0641)  1 P 1.55, 1 H 1.71
O (0.7346, 0.8674, 0.2474)  1 P 1.52
O (0.9246, 0.3257, 0.7747)  1 H 1.45, 1 P 1.55
O (0.7745, 0.4851, 0.3839)  3 H 1.01-1.06
O (0.2628, 0.7127, 0.0538)  1 H 1.46, 1 P 1.55
O (0.2255, 0.9851, 0.1161)  3 H 1.01-1.06
O (0.4603, 0.1356, 0.5641)  1 P 1.55, 1 H 1.71
O (0.3789, 0.0884, 0.2861)  1 P 1.55, 1 H 1.63
O (0.8037, 0.3431, 0.6020)  1 H 1.06
O (0.6211, 0.9116, 0.7139)  1 P 1.55, 1 H 1.63
O (0.0754, 0.8257, 0.7253)  1 H 1.45, 1 P 1.55
O (0.0780, 0.5588, 0.9131)  1 P 1.52
H (0.8394, 0.1676, 0.1754)  1 O 1.06
H (0.1606, 0.8324, 0.8246)  1 O 1.06
H (0.2380, 0.8682, 0.0925)  1 O 1.06
H (0.7620, 0.1318, 0.9075)  1 O 1.06
H (0.0532, 0.0334, 0.1014)  1 O 1.01
H (0.0532, 0.4666, 0.6014)  1 O 1.01
H (0.9468, 0.9666, 0.8986)  1 O 1.01
H (0.7065, 0.7020, 0.0376)  1 O 1.01
H (0.2987, 0.4904, 0.6839)  1 O 1.03
H (0.2935, 0.2980, 0.9624)  1 O 1.01
H (0.7620, 0.3682, 0.4075)  1 O 1.06
H (0.1606, 0.6676, 0.3246)  1 O 1.06
H (0.9468, 0.5334, 0.3986)  1 O 1.01
H (0.2987, 0.0096, 0.1839)  1 O 1.03
H (0.8394, 0.3324, 0.6754)  1 O 1.06
H (0.2380, 0.6318, 0.5925)  1 O 1.06
H (0.7065, 0.7980, 0.5376)  1 O 1.01
H (0.7013, 0.5096, 0.3161)  1 O 1.03
H (0.2935, 0.2020, 0.4624)  1 O 1.01
H (0.7013, 0.9904, 0.8161)  1 O 1.03
Sc (0.7317, 0.4866, 0.8534)  6 O 1.99-2.17
Sc (0.2683, 0.5134, 0.1466)  6 O 1.99-2.17
Sc (0.7317, 0.0134, 0.3534)  6 O 1.99-2.17
Sc (0.2683, 0.9866, 0.6466)  6 O 1.99-2.17

Calculated values
As for the final energy: -8.466 eV per atom. The total magnetic moment comes out at 0.000 Bohr magnetons per cell. As for the symmetry: P2_1/c (14).



Entry 5:
# SnPHO5

A crystal of SnPHO5 relaxed with PBEsol (meta-GGA SCAN, the Alexandria database).

abc: 5.3111 5.3008 7.4909
angles: 105.99 108.34 99.47
With the nearest neighbours (Å) after each atom.
Atoms (fractional coordinates):
H (0.3394, 0.9705, 0.3151)  1 O 1.01
H (0.6606, 0.0295, 0.6849)  1 O 1.01
O (0.2280, 0.3478, 0.6095)  1 P 1.53
O (0.1809, 0.3004, 0.9227)  1 P 1.54
O (0.1818, 0.7456, 0.8599)  1 P 1.53
O (0.8182, 0.2544, 0.1401)  1 P 1.53
O (0.3423, 0.1300, 0.2662)  1 H 1.01
O (0.8191, 0.6996, 0.0773)  1 P 1.54
O (0.7719, 0.3229, 0.6532)  1 P 1.58, 1 H 1.68
O (0.6577, 0.8700, 0.7338)  1 H 1.01
O (0.7720, 0.6522, 0.3905)  1 P 1.53
O (0.2281, 0.6771, 0.3468)  1 P 1.58, 1 H 1.68
Sn (0.5000, 0.5000, 0.5000)  6 O 2.03-2.07
Sn (0.0000, 0.0000, 0.0000)  6 O 2.03-2.07
P (0.9048, 0.5667, 0.2369)  4 O 1.53-1.58
P (0.0952, 0.4333, 0.7631)  4 O 1.53-1.58

Calculated values
As for the final energy: -12.100 eV per atom. The total magnetic moment comes out at 0.000 Bohr magnetons per cell. As for the symmetry: P-1 (2).